The following is a PBE-GGA calculation of Gd3Ni2PdPb3 after structural relaxation, from OQMD via LeMat-Bulk.

It has space group P-62m (No. 189), with a = 7.5284 Å, b = 7.5284 Å, c = 4.0744 Å, α = 90.00°, β = 90.00° and γ = 120.00°. The distinct sites, in fractional coordinates, are Gd at (0.0000, 0.5914, 0.0000), Ni at (0.3333, 0.6667, 0.5000), Pd at (0.0000, 0.0000, 0.0000) and Pb at (0.0000, 0.2685, 0.5000).

Its density is 10.9 Mg/m³. Its crystal system is hexagonal. Its total energy is -5.1154 eV/atom.